[1]
! PBE Ac2AsF, relaxed; values from VASP
! * M_tot: 0.000 μB per atom
! * formation energy from raw total energies: -1619 meV per atom
! * polymorph energy (0 for the lowest one): 289.2 meV/atom
&SYSTEM
  ibrav = 0, nat = 4, ntyp = 3
/
ATOMIC_SPECIES
Ac 227.00 Ac.upf
As 74.92 As.upf
F 19.00 F.upf
ATOMIC_POSITIONS crystal
Ac 0.250 0.250 0.250
As 0.000 0.000 0.000
Ac 0.750 0.750 0.750
F 0.500 0.500 0.500
CELL_PARAMETERS angstrom
-3.585 1.990 3.308
-4.707 1.514 -1.818
-4.308 -2.785 1.202

=====

[2]
! PBE AlZn2Hg, relaxed; values from VASP
! * energy of formation: 136 meV/atom
! * M_tot: 0.000 μB per atom
! * polymorph energy (0 for the lowest one): 27.8 meV/atom
&SYSTEM
  ibrav = 0, nat = 4, ntyp = 3
/
ATOMIC_SPECIES
Zn 65.41 Zn.upf
Hg 200.59 Hg.upf
Al 26.98 Al.upf
ATOMIC_POSITIONS crystal
Zn 0.500 0.500 0.000
Hg 0.000 0.500 0.500
Zn 0.000 0.000 0.000
Al 0.500 0.000 0.500
CELL_PARAMETERS angstrom
4.142 0.000 0.000
0.000 4.140 0.000
0.000 0.000 4.148

=====

[3]
! PBE Ba4ZnCd, relaxed; values from VASP
! * energy of formation: -52 meV/atom
! * M_tot: 0.055 μB per atom
! * polymorph energy (0 for the lowest one): 128.2 meV/atom
&SYSTEM
  ibrav = 0, nat = 6, ntyp = 3
/
ATOMIC_SPECIES
Ba 137.33 Ba.upf
Cd 112.41 Cd.upf
Zn 65.41 Zn.upf
ATOMIC_POSITIONS crystal
Ba 0.501 0.997 0.256
Ba 0.002 0.498 0.741
Ba 0.001 0.497 0.256
Cd 0.501 0.497 0.998
Zn 0.001 0.998 0.498
Ba 0.502 0.998 0.741
CELL_PARAMETERS angstrom
5.898 0.000 -0.002
0.000 5.897 -0.002
0.004 0.007 8.389

=====

[4]
! PBE Rb3Tb3TiO8, relaxed; values from VASP
! * M_tot: 0.000 μB per atom
! * formation energy from raw total energies: -2764 meV per atom
&SYSTEM
  ibrav = 0, nat = 15, ntyp = 4
/
ATOMIC_SPECIES
Ti 47.87 Ti.upf
O 16.00 O.upf
Rb 85.47 Rb.upf
Tb 158.93 Tb.upf
ATOMIC_POSITIONS crystal
Ti 0.000 0.000 0.500
O 0.244 0.041 0.338
O 0.756 0.959 0.662
Rb 0.000 0.000 0.000
O 0.725 0.449 0.674
Tb 0.500 0.000 0.500
O 0.203 0.959 0.662
Tb 0.000 0.500 0.500
Rb 0.500 0.500 0.000
O 0.797 0.041 0.338
Tb 0.500 0.500 0.500
O 0.203 0.406 0.662
O 0.275 0.551 0.326
O 0.797 0.594 0.338
Rb 0.000 0.500 0.000
CELL_PARAMETERS angstrom
-2.411 -3.460 5.334
-3.070 -0.502 -6.047
6.746 -3.619 0.701

=====

Copy entry 1 word for word.
! PBE Ac2AsF, relaxed; values from VASP
! * M_tot: 0.000 μB per atom
! * formation energy from raw total energies: -1619 meV per atom
! * polymorph energy (0 for the lowest one): 289.2 meV/atom
&SYSTEM
  ibrav = 0, nat = 4, ntyp = 3
/
ATOMIC_SPECIES
Ac 227.00 Ac.upf
As 74.92 As.upf
F 19.00 F.upf
ATOMIC_POSITIONS crystal
Ac 0.250 0.250 0.250
As 0.000 0.000 0.000
Ac 0.750 0.750 0.750
F 0.500 0.500 0.500
CELL_PARAMETERS angstrom
-3.585 1.990 3.308
-4.707 1.514 -1.818
-4.308 -2.785 1.202

=====

Q: M_tot of number 1 (Ac2AsF)?
A: 0.000 μB per atom

=====

Q: Which of these has the highest M_tot?
A: Ba4ZnCd